This record from the Alexandria database describes a geometry-optimized Ag2TeCl structure. The functional is GGA-PBE.

```
4
Lattice="-3.3371 3.5356 -3.3969 -2.0630 -4.8827 -2.6606 -0.1029 3.2629 4.9516" Properties=species:S:1:pos:R:3 pbc="T T T"
Cl -3.0700 3.0625 -0.7370
Te -2.4330 -1.1467 -0.3689
Ag -5.3422 -1.3326 -5.9926
Ag -2.7579 -0.6880 -3.0936
```

- Uncorrected formation energy: -1.785 kcal/mol of atoms
- Calculated volume: 113.4 Å³ per cell
- Energy above the most stable polymorph in this dataset: 0.116 eV per atom
- Theoretical density: 5.55 g cm⁻³

This record from the Alexandria database describes a geometry-optimized Tb6SbC3 structure. The functional is GGA-PBE.

```
20
Lattice="3.6771 0.0000 0.0000 0.0000 10.0820 -2.7460 0.0000 0.5622 11.7733" Properties=species:S:1:pos:R:3 pbc="T T T"
Tb 0.9193 6.6930 9.5131
Tb 2.7578 3.9511 -0.4858
Tb 2.7578 7.0026 1.0670
Tb 0.9193 3.6416 7.9604
Tb 2.7578 2.3168 5.0650
Tb 0.9193 2.0793 1.7897
Tb 2.7578 9.3284 -1.5181
Tb 2.7578 8.5649 7.2376
Tb 0.9193 5.0249 3.0954
Tb 2.7578 5.6193 5.9319
Tb 0.9193 8.3274 3.9623
Tb 0.9193 1.3158 10.5455
C 0.9193 9.1133 8.7441
C 2.7578 5.2224 8.6693
C 2.7578 1.5309 0.2832
C 0.9193 3.9365 5.5069
C 0.9193 5.4218 0.3581
C 2.7578 6.7077 3.5204
Sb 2.7578 0.8338 7.8829
Sb 0.9193 9.8104 1.1445
```

- Uncorrected formation energy: -8.460 kcal/mol of atoms
- Calculated volume: 442.1 Å³ per cell
- Theoretical density: 8.35 g cm⁻³

This record from the Alexandria database describes a geometry-optimized Ba2AlBiO6 structure. The functional is GGA-PBE.

```
20
Lattice="5.9185 0.0000 0.0000 2.9593 5.1256 0.0000 2.9593 1.7085 9.7891" Properties=species:S:1:pos:R:3 pbc="T T T"
O 5.9185 5.2439 8.6530
O 7.2616 2.6416 3.6948
O 7.5006 2.5036 8.6530
O 5.9185 4.9680 3.6948
O 5.9185 1.5902 1.1361
O 4.5754 4.1925 6.0943
O 7.2617 4.1925 6.0943
O 4.3365 4.3305 1.1361
O 7.5006 4.3305 1.1361
O 5.9185 1.8662 6.0943
O 4.5754 2.6416 3.6948
O 4.3364 2.5036 8.6530
Al 0.0000 0.0000 0.0000
Al 5.9185 3.4171 4.8946
Ba 8.8778 5.1256 8.3334
Ba 2.9593 1.7085 1.4557
Ba 8.8778 5.1256 3.8540
Ba 2.9593 1.7085 5.9352
Bi 5.9185 3.4171 7.6096
Bi 5.9185 3.4171 2.1795
```

- Uncorrected formation energy: -49.863 kcal/mol of atoms
- Calculated volume: 297.0 Å³ per cell
- Theoretical density: 6.78 g cm⁻³

This record from the Alexandria database describes a geometry-optimized Mn4C structure. The functional is GGA-PBE.

```
5
Lattice="1.3892 -2.4062 0.0000 1.3892 2.4062 0.0000 0.0000 0.0000 8.2708" Properties=species:S:1:pos:R:3 pbc="T T T"
C 0.0000 0.0000 0.0000
Mn 1.3892 0.8021 3.3196
Mn 1.3892 -0.8021 7.1797
Mn 1.3892 -0.8021 4.9513
Mn 1.3892 0.8021 1.0912
```

- Energy of formation: 1.898 eV per formula unit
- Calculated volume: 55.3 Å³ per cell
- Energy above the most stable polymorph in this dataset: 0.379 eV per atom
- Theoretical density: 6.96 g cm⁻³

This record from the Alexandria database describes a geometry-optimized MnGa2NiRu structure. The functional is GGA-PBE.

```
5
Lattice="4.6259 0.0000 0.0000 0.0000 4.5435 0.0000 0.0000 0.0000 4.6259" Properties=species:S:1:pos:R:3 pbc="T T T"
Ru 0.0000 0.0000 0.0000
Ga 2.3129 0.0000 0.0000
Ga 0.0000 0.0000 2.3129
Mn 2.3129 2.2718 2.3129
Ni 0.0000 2.2718 0.0000
```

- Energy of formation: 5.764 eV per formula unit
- Calculated volume: 97.2 Å³ per cell
- Theoretical density: 6.05 g cm⁻³

This record from the Alexandria database describes a geometry-optimized Rb2Pu2AgS6 structure. The functional is GGA-PBE.

```
11
Lattice="6.9275 -0.1391 0.0994 -3.5449 5.9534 0.0994 -1.1573 -1.9893 7.7860" Properties=species:S:1:pos:R:3 pbc="T T T"
Pu 2.8358 0.9100 3.9924
Pu -0.6105 2.9150 3.9924
Ag -0.5787 -0.9947 3.8930
Rb 5.2985 0.8086 0.0994
Rb -1.9159 5.0057 0.0994
S 0.3232 4.9321 2.5802
S -1.9025 1.1063 5.4046
S 1.9021 -1.1071 5.4046
S 4.1278 2.7186 2.5802
S 1.6296 2.8011 5.4398
S 0.5957 1.0239 2.5450
```

- Uncorrected formation energy: -26.515 kcal/mol of atoms
- Calculated volume: 320.0 Å³ per cell
- Theoretical density: 4.98 g cm⁻³

This record from the Alexandria database describes a geometry-optimized Al2Sb structure. The functional is GGA-PBE.

```
12
Lattice="-4.6667 0.2763 2.0931 -1.3204 -5.0823 -2.2729 3.0379 -4.0580 7.3091" Properties=species:S:1:pos:R:3 pbc="T T T"
Al -1.8999 -4.0856 -0.5629
Al 0.7792 -4.2458 5.4315
Al -3.7284 -4.6182 1.6978
Al -1.0493 -4.7784 7.6922
Al -0.2347 -2.8869 2.9914
Al 0.1223 -6.7915 4.3031
Al -3.0715 -2.0725 2.8262
Al -2.7145 -5.9771 4.1379
Sb -0.8894 -5.4357 1.8684
Sb -1.2454 -1.5371 0.5599
Sb -2.0598 -3.4283 5.2609
Sb -1.7038 -7.3269 6.5693
```

- Uncorrected formation energy: 3.253 kcal/mol of atoms
- Calculated volume: 260.7 Å³ per cell
- Theoretical density: 4.48 g cm⁻³

This record from the Alexandria database describes a geometry-optimized KSb2P structure. The functional is GGA-PBE.

```
4
Lattice="5.5373 0.0000 0.0000 0.0000 3.2225 0.0099 0.0000 -0.0191 6.4336" Properties=species:S:1:pos:R:3 pbc="T T T"
K 0.0000 1.6014 3.2273
P 2.7687 -0.0149 5.2141
Sb 2.7687 3.2185 1.3433
Sb 0.0000 3.2037 6.3241
```

- Uncorrected formation energy: 0.269 kcal/mol of atoms
- Calculated volume: 114.8 Å³ per cell
- Theoretical density: 4.54 g cm⁻³

This record from the Alexandria database describes a geometry-optimized KDy4TmS8 structure. The functional is GGA-PBE.

```
14
Lattice="8.2148 0.0000 0.0000 4.1074 7.1143 0.0000 4.1074 2.3714 6.6562" Properties=species:S:1:pos:R:3 pbc="T T T"
Dy 4.1074 4.6547 3.3590
Dy 6.0848 1.2298 3.3590
Dy 8.2148 4.7428 0.8372
Dy 2.1301 1.2298 3.3590
S 10.4019 6.0055 1.6996
S 10.5528 3.3930 4.9064
S 5.8769 3.3930 4.9064
S 6.0278 6.0055 1.6996
S 4.1074 2.3714 1.9849
S 8.2148 2.2174 1.6996
S 12.3223 7.1143 4.8426
S 8.2148 7.4425 4.9064
Tm 4.1074 2.3714 6.5669
K 8.2148 4.7428 5.7950
```

- Uncorrected formation energy: -44.616 kcal/mol of atoms
- Calculated volume: 389.0 Å³ per cell
- Theoretical density: 4.76 g cm⁻³

This record from the Alexandria database describes a geometry-optimized ZrCdAs structure. The functional is GGA-PBE.

```
3
Lattice="4.6897 0.0000 0.0000 2.3449 4.0614 0.0000 2.3449 1.3538 3.8292" Properties=species:S:1:pos:R:3 pbc="T T T"
Zr 7.0346 4.0614 2.8719
As 0.0000 0.0000 0.0000
Cd 4.6897 2.7076 1.9146
```

- Energy of formation: 0.017 eV per formula unit
- Calculated volume: 72.9 Å³ per cell
- Energy above the most stable polymorph in this dataset: 0.619 eV per atom
- Theoretical density: 6.34 g cm⁻³

This record from the Alexandria database describes a geometry-optimized CsTl2Hg structure. The functional is GGA-PBE.

```
8
Lattice="-3.3172 -0.3208 3.4563 3.4571 0.1247 3.3296 -0.8715 13.3662 0.4042" Properties=species:S:1:pos:R:3 pbc="T T T"
Cs 1.0515 10.4461 1.9788
Cs -1.8531 2.8221 1.8183
Tl -0.3658 6.5851 3.5950
Tl 1.6727 0.9187 1.6907
Tl -2.4743 12.3495 2.1064
Tl -0.4358 6.6831 0.2021
Hg -2.2432 8.8057 1.9993
Hg 1.4416 4.4624 1.7978
```

- Energy of formation: -0.225 eV per formula unit
- Calculated volume: 308.9 Å³ per cell
- Energy above the most stable polymorph in this dataset: 0.049 eV per atom
- Theoretical density: 7.98 g cm⁻³

This record from the Alexandria database describes a geometry-optimized KNbIr2 structure. The functional is GGA-PBE.

```
4
Lattice="0.0000 3.2996 3.2996 3.2996 0.0000 3.2996 3.2996 3.2996 0.0000" Properties=species:S:1:pos:R:3 pbc="T T T"
K 0.0000 0.0000 0.0000
Ir 4.9494 4.9494 4.9494
Ir 1.6498 1.6498 1.6498
Nb 3.2996 3.2996 3.2996
```

- Energy of formation: 2.807 eV per formula unit
- Calculated volume: 71.8 Å³ per cell
- Energy above the most stable polymorph in this dataset: 0.000 eV per atom
- Theoretical density: 11.94 g cm⁻³

Question: The lowest calculated volume belongs to which entry?
Answer: Mn4C